LiBRh | Alexandria via LeMat-Bulk | PBE | optimized geometry; N(E_F) = 1.7 states/eV per cell; V = 11.7 Å³/atom; M_tot = 0.0 μB per cell; formation energy = -268.1 meV per atom
1.0
3.011 -1.733 0.000
3.011 1.733 0.000
-2.005 0.000 6.747
Li B Rh
2 2 2
direct
0.132 0.132 0.396
0.868 0.868 0.604
0.405 0.405 0.215
0.595 0.595 0.785
0.286 0.286 0.856
0.714 0.714 0.144